# 1
Density functional theory data (PBE) for a geometry-optimized Li4Cd3Hg5 structure.

a = 5.400 Å, b = 5.866 Å, c = 10.100 Å
α = 76.81°, β = 74.49°, γ = 62.59°
Fractional coordinates of all 12 atoms:
Li 0.890 0.406 0.814
Li 0.110 0.594 0.186
Li 0.221 0.972 0.586
Li 0.779 0.028 0.414
Cd 0.348 0.014 0.290
Cd 0.652 0.986 0.710
Cd 0.000 0.500 0.500
Hg 0.861 0.140 0.139
Hg 0.376 0.297 0.951
Hg 0.139 0.860 0.861
Hg 0.624 0.703 0.049
Hg 0.500 0.500 0.500

Energy of formation from the pure elements = -11.3 kJ per mole of atoms
Space-group type = C2/m (12)
Total magnetization = 0.0 μB/f.u.


# 2
Density functional theory data (PBE) for a geometry-optimized LiCd3Hg6 structure.

a = 6.786 Å, b = 8.667 Å, c = 8.667 Å
α = 101.26°, β = 90.00°, γ = 90.00°
Fractional coordinates of all 20 atoms:
Cd 0.949 0.695 0.026
Cd 0.449 0.305 0.974
Cd 0.449 0.026 0.695
Cd 0.459 0.491 0.509
Cd 0.959 0.509 0.491
Cd 0.949 0.974 0.305
Hg 0.195 0.495 0.802
Hg 0.695 0.505 0.198
Hg 0.195 0.198 0.505
Hg 0.745 0.307 0.693
Hg 0.695 0.802 0.495
Hg 0.073 0.305 0.165
Hg 0.245 0.693 0.307
Hg 0.269 0.962 0.038
Hg 0.573 0.165 0.305
Hg 0.573 0.695 0.835
Hg 0.769 0.038 0.962
Hg 0.073 0.835 0.695
Li 0.576 0.824 0.176
Li 0.076 0.176 0.824

Energy of formation from the pure elements = -4.2 kJ per mole of atoms
Space-group type = Cmc2_1 (36)
Total magnetization = 0.0 μB/f.u.


# 3
Density functional theory data (PBE) for a geometry-optimized Li6CdHg3 structure.

a = 4.754 Å, b = 7.982 Å, c = 10.060 Å
α = 108.49°, β = 90.00°, γ = 90.00°
Fractional coordinates of all 20 atoms:
Hg 0.250 0.350 0.801
Hg 0.750 0.455 0.608
Hg 0.750 0.650 0.199
Hg 0.250 0.545 0.392
Hg 0.750 0.230 0.012
Hg 0.250 0.770 0.988
Li 0.750 0.538 0.907
Li 0.250 0.060 0.896
Li 0.250 0.462 0.093
Li 0.750 0.940 0.104
Li 0.250 0.259 0.503
Li 0.750 0.847 0.805
Li 0.250 0.153 0.195
Li 0.250 0.844 0.291
Li 0.750 0.741 0.497
Li 0.250 0.642 0.692
Li 0.750 0.156 0.709
Li 0.750 0.358 0.308
Cd 0.250 0.949 0.595
Cd 0.750 0.051 0.405

Energy of formation from the pure elements = -29.7 kJ per mole of atoms
Space-group type = P2_1/m (11)
Total magnetization = 0.0 μB/f.u.
Excess energy over the best structure of this formula in the dataset = 0.00 kcal/mol of atoms